Entry from Alexandria via LeMat-Bulk: a relaxed structure of PmDy8In6 (PBE-GGA).

Computed properties:
Electronic total energy: -4.08 eV per atom
M_tot: 0.000 μB/atom

a b c (Å): 9.0670 9.0670 19.4464
angles (deg): 90.00 90.00 120.00
Space group R-3 (No. 148, hexagonal axes)
One atom of each set of equivalent atoms:
Pm (0.0000, 0.0000, 0.0000) [3 per cell]
Dy (0.0000, 0.0000, 0.3327) [6 per cell]
Dy (0.0005, 0.3344, 0.7799) [18 per cell]
In (0.9998, 0.3374, 0.9409) [18 per cell]